Material: GdZnCd
Method: DFT, PBE
State: optimized geometry

CIF file:
```
data_GdZnCd
_chemical_formula_sum 'Gd1 Zn1 Cd1'
_symmetry_space_group_name_H-M 'P 1'
_symmetry_Int_Tables_number 1
_cell_length_a 4.7794
_cell_length_b 4.7794
_cell_length_c 3.4842
_cell_angle_alpha 90.00
_cell_angle_beta 90.00
_cell_angle_gamma 120.00
loop_
_symmetry_equiv_pos_as_xyz
'x,y,z'
loop_
_atom_site_label
_atom_site_type_symbol
_atom_site_fract_x
_atom_site_fract_y
_atom_site_fract_z
Gd1 Gd 0.0000 0.0000 0.0000
Zn1 Zn 0.6667 0.3333 0.5000
Cd1 Cd 0.3333 0.6667 0.5000
```

Computed properties:
Space-group type ... No. 187
Electronic total energy ... -5.7531 eV per atom
Crystal system ... hexagonal